Entry from Alexandria via LeMat-Bulk: a relaxed structure of LiTmSnOs (PBE).

Structure (POSCAR):
```
LiTmSnOs
1.0
0.000 3.322 3.322
3.322 0.000 3.322
3.322 3.322 0.000
Li Tm Sn Os
1 1 1 1
Direct
0.000 0.000 0.000
0.250 0.250 0.250
0.750 0.750 0.750
0.500 0.500 0.500
```

## Properties
Density   10978 kg/m³
Energy   -22.7 eV/cell
Magnetization   0.00 μB/f.u.



Entry from Alexandria via LeMat-Bulk: a relaxed structure of Ba2Zn3In4Ag (PBE).

Structure (POSCAR):
```
Ba2Zn3In4Ag
1.0
4.882 0.000 0.000
0.000 4.882 0.000
0.000 0.000 11.229
Ba Zn In Ag
2 3 4 1
Direct
0.000 0.500 0.244
0.500 0.000 0.756
0.000 0.000 0.000
0.000 0.500 0.633
0.500 0.000 0.367
0.000 0.000 0.500
0.000 0.500 0.876
0.500 0.000 0.124
0.500 0.500 0.500
0.500 0.500 0.000
```

## Properties
Density   6441 kg/m³
Energy   -24.3 eV/cell
Magnetization   0.00 μB/f.u.



Entry from Alexandria via LeMat-Bulk: a relaxed structure of SrLa2V (PBE).

Structure (POSCAR):
```
SrLa2V
1.0
0.000 4.053 4.053
4.053 0.000 4.053
4.053 4.053 0.000
Sr La V
1 2 1
Direct
0.000 0.000 0.000
0.250 0.250 0.250
0.750 0.750 0.750
0.500 0.500 0.500
```

## Properties
ΔE to the lowest computed polymorph   0 meV per atom
Density   5192 kg/m³
Energy   -18.7 eV/cell
Magnetization   3.46 μB/f.u.



Entry from Alexandria via LeMat-Bulk: a relaxed structure of LuMgAg2 (PBE).

Structure (POSCAR):
```
LuMgAg2
1.0
0.000 3.454 3.454
3.454 0.000 3.454
3.454 3.454 0.000
Lu Mg Ag
1 1 2
Direct
0.000 0.000 0.000
0.500 0.500 0.500
0.250 0.250 0.250
0.750 0.750 0.750
```

## Properties
Density   8359 kg/m³
Energy   -13.0 eV/cell
Magnetization   0.00 μB/f.u.



Entry from Alexandria via LeMat-Bulk: a relaxed structure of Li3VSi (PBE).

Structure (POSCAR):
```
Li3VSi
1.0
4.691 0.000 0.000
0.000 4.691 0.000
0.000 0.000 4.691
Li V Si
3 1 1
Direct
0.000 0.000 0.500
0.000 0.500 0.000
0.500 0.000 0.000
0.000 0.000 0.000
0.500 0.500 0.500
```

## Properties
ΔE_f (raw)   1132 meV/atom
ΔE to the lowest computed polymorph   492 meV per atom
Density   1607 kg/m³
Energy   -14.6 eV/cell
Magnetization   4.01 μB/f.u.



Entry from Alexandria via LeMat-Bulk: a relaxed structure of YNb2Cd (PBE).

Structure (POSCAR):
```
YNb2Cd
1.0
-4.039 4.039 2.832
4.039 -4.039 2.832
4.039 4.039 -2.832
Y Nb Cd
2 4 2
Direct
0.000 0.000 0.000
0.750 0.250 0.500
0.149 0.625 0.024
0.375 0.399 0.524
0.601 0.125 0.976
0.875 0.851 0.476
0.250 0.750 0.500
0.500 0.500 0.000
```

## Properties
Density   6958 kg/m³
Energy   -49.2 eV/cell
Magnetization   0.00 μB/f.u.



Entry from Alexandria via LeMat-Bulk: a relaxed structure of Re2AsPt (PBE).

Structure (POSCAR):
```
Re2AsPt
1.0
1.423 0.822 8.808
-1.423 0.822 8.808
0.000 -1.643 8.808
Re As Pt
2 1 1
Direct
0.000 0.000 0.000
0.253 0.253 0.253
0.506 0.506 0.506
0.753 0.753 0.753
```

## Properties
Density   17261 kg/m³
Energy   -35.2 eV/cell
Magnetization   0.00 μB/f.u.



Entry from Alexandria via LeMat-Bulk: a relaxed structure of BaZrTlGe2 (PBE).

Structure (POSCAR):
```
BaZrTlGe2
1.0
5.325 0.000 0.000
0.000 5.325 0.000
0.000 0.000 5.976
Ba Zr Tl Ge
1 1 1 2
Direct
0.000 0.000 0.000
0.000 0.000 0.500
0.500 0.500 0.000
0.000 0.500 0.500
0.500 0.000 0.500
```

## Properties
Density   5666 kg/m³
Energy   -20.8 eV/cell
Magnetization   0.00 μB/f.u.